Entry 1:
Dy2U2AlRu5 | Alexandria | PBE | relaxed; DOS at the Fermi energy = 0.839 states/eV per atom; calculated formation energy = -225 meV per atom
1.0
3.262 0.000 0.000
0.000 10.705 0.000
0.000 0.000 10.705
Dy U Al Ru
4 4 2 10
direct
0.000 0.660 0.160
0.000 0.340 0.840
0.000 0.160 0.340
0.000 0.840 0.660
0.000 0.154 0.654
0.000 0.846 0.346
0.000 0.654 0.846
0.000 0.346 0.154
0.000 0.000 0.000
0.000 0.500 0.500
0.500 0.191 0.059
0.500 0.809 0.941
0.500 0.059 0.809
0.500 0.691 0.441
0.500 0.941 0.191
0.500 0.309 0.559
0.500 0.559 0.691
0.500 0.441 0.309
0.500 0.500 0.000
0.500 0.000 0.500

Entry 2:
La3Tb4SmSe8 | Alexandria | PBE | relaxed; formation energy (no corrections) = -1.8632 eV per atom; DOS at the Fermi energy = 0.663 states/eV per atom
1.0
-7.293 -3.275 2.379
3.254 -7.728 -0.663
3.781 5.684 4.793
La Tb Sm Se
3 4 1 8
direct
0.500 0.500 0.000
0.500 0.500 0.500
0.000 0.500 0.500
0.500 0.000 0.000
0.500 0.000 0.500
0.000 0.000 0.000
0.000 0.000 0.500
0.000 0.500 0.000
0.253 0.764 0.011
0.253 0.764 0.505
0.244 0.233 0.489
0.759 0.764 0.011
0.241 0.236 0.989
0.756 0.767 0.511
0.747 0.236 0.495
0.747 0.236 0.989

Entry 3:
SmTm2Tl3S6 | Alexandria | PBE | relaxed; formation energy (no corrections) = -1.4796 eV per atom; DOS at the Fermi energy = 0.000 states/eV per atom
1.0
6.973 0.000 0.000
-3.485 6.040 0.000
-1.163 -2.014 7.520
Sm Tm Tl S
1 2 3 6
direct
0.000 0.000 0.000
0.333 0.667 0.000
0.667 0.333 0.000
0.166 0.834 0.500
0.834 0.166 0.500
0.500 0.500 0.500
0.934 0.592 0.802
0.723 0.723 0.196
0.066 0.408 0.198
0.592 0.934 0.802
0.277 0.277 0.804
0.408 0.066 0.198

Entry 4:
AlHg2As | Alexandria | PBE | relaxed; energy above the most stable polymorph in this dataset = 0.3309 eV per atom; DOS at the Fermi energy = 0.390 states/eV per atom; calculated formation energy = 299 meV per atom
1.0
0.000 3.541 3.541
3.541 0.000 3.541
3.541 3.541 0.000
As Hg Al
1 2 1
direct
0.500 0.500 0.500
0.250 0.250 0.250
0.750 0.750 0.750
0.000 0.000 0.000

Entry 5:
SrY3Co | Alexandria | PBE | relaxed; energy above the most stable polymorph in this dataset = 1.8372 eV per atom; DOS at the Fermi energy = 2.435 states/eV per atom; calculated formation energy = 1806 meV per atom
1.0
5.462 0.000 0.000
0.000 5.462 0.000
0.000 0.000 5.462
Y Sr Co
3 1 1
direct
0.000 0.500 0.000
0.000 0.000 0.500
0.500 0.000 0.000
0.000 0.000 0.000
0.500 0.500 0.500

Entry 6:
MgTa2Os | Alexandria | PBE | relaxed; DOS at the Fermi energy = 1.099 states/eV per atom; calculated formation energy = 194 meV per atom
1.0
9.874 0.019 0.011
9.444 2.880 0.011
9.444 1.417 2.507
Mg Os Ta
1 1 2
direct
0.250 0.250 0.250
0.750 0.750 0.750
0.006 0.006 0.006
0.494 0.494 0.494

Entry 7:
LaNdI4 | Alexandria | PBE | relaxed; formation energy (no corrections) = -1.2696 eV per atom; energy above the most stable polymorph in this dataset = 0.0689 eV per atom; DOS at the Fermi energy = 0.589 states/eV per atom
1.0
6.340 0.000 0.000
0.000 6.340 0.000
-3.170 -3.170 6.154
La Nd I
1 1 4
direct
0.500 0.500 0.000
0.250 0.750 0.500
0.988 0.488 0.977
0.765 0.765 0.531
0.512 0.012 0.023
0.235 0.235 0.469

Entry 8:
MgCd2 | Alexandria | PBE | relaxed; DOS at the Fermi energy = 0.213 states/eV per atom; calculated formation energy = -80 meV per atom
1.0
-2.788 -5.537 0.072
0.100 -6.121 -0.979
1.765 -2.867 6.438
Mg Cd
2 4
direct
0.527 0.527 0.202
0.473 0.473 0.798
0.812 0.812 0.132
0.140 0.140 0.469
0.860 0.860 0.531
0.188 0.188 0.868

Entry 9:
Hf8AuN6 | Alexandria | PBE | relaxed; formation energy (no corrections) = -1.1856 eV per atom; DOS at the Fermi energy = 0.455 states/eV per atom
1.0
-3.222 4.705 -2.295
-2.880 0.444 5.412
4.481 3.763 1.881
Hf Au N
8 1 6
direct
0.736 0.736 0.736
0.264 0.264 0.264
0.603 0.863 0.282
0.863 0.282 0.603
0.282 0.603 0.863
0.397 0.137 0.718
0.137 0.718 0.397
0.718 0.397 0.137
0.000 0.000 0.000
0.614 0.419 0.806
0.419 0.806 0.614
0.806 0.614 0.419
0.386 0.581 0.194
0.581 0.194 0.386
0.194 0.386 0.581

Entry 10:
Tb2Er5Th3 | Alexandria | PBE | relaxed; DOS at the Fermi energy = 1.374 states/eV per atom; calculated formation energy = 229 meV per atom
1.0
-8.947 0.111 -0.697
2.206 -7.526 4.367
2.852 7.798 5.477
Tb Er Th
4 10 6
direct
0.974 0.014 0.741
0.026 0.986 0.259
0.267 0.728 0.741
0.733 0.272 0.259
0.219 0.469 0.939
0.781 0.531 0.061
0.969 0.719 0.438
0.470 0.220 0.440
0.031 0.281 0.562
0.530 0.780 0.560
0.877 0.620 0.746
0.123 0.380 0.254
0.369 0.126 0.746
0.631 0.874 0.254
0.273 0.023 0.046
0.727 0.977 0.954
0.510 0.482 0.248
0.490 0.518 0.752
0.239 0.766 0.248
0.761 0.234 0.752

Entry 11:
Tl2Cu2Rh | Alexandria | PBE | relaxed; DOS at the Fermi energy = 0.684 states/eV per atom; calculated formation energy = 326 meV per atom
1.0
-3.112 -5.976 0.819
3.678 -2.610 -5.073
2.746 -1.081 2.547
Tl Rh Cu
4 2 4
direct
0.178 0.678 0.500
0.678 0.822 0.500
0.822 0.322 0.500
0.322 0.178 0.500
0.000 0.000 0.000
0.500 0.500 0.000
0.372 0.872 0.000
0.872 0.628 0.000
0.628 0.128 0.000
0.128 0.372 0.000

Entry 12:
TbNdDy3Ho | Alexandria | PBE | relaxed; DOS at the Fermi energy = 1.871 states/eV per atom; calculated formation energy = 126 meV per atom
1.0
5.792 0.000 0.000
-2.896 5.767 0.000
0.000 0.000 11.558
Tb Nd Dy Ho
2 2 6 2
direct
0.000 0.000 0.500
0.000 0.000 0.000
0.526 0.053 0.750
0.474 0.947 0.250
0.674 0.348 0.474
0.326 0.652 0.526
0.326 0.652 0.974
0.674 0.348 0.026
0.144 0.288 0.750
0.856 0.712 0.250
0.829 0.659 0.750
0.171 0.341 0.250